# 1
Compound: LiPrHg6
Source: the Alexandria database
Functional: PBE
Structure: optimized geometry

The structure in POSCAR format:
```
LiPrHg6
1.0
5.0844 0.0000 0.0000
0.0000 3.3496 5.7893
0.0000 -3.3496 5.7893
Li Pr Hg
1 1 6
Cartesian
0.0000 0.0000 0.0000 Li
2.5422 0.0000 7.7522 Pr
0.0000 -1.6072 2.9510 Hg
0.0000 1.6072 2.9510 Hg
0.0000 0.0000 5.7459 Hg
2.5422 0.0000 1.8837 Hg
2.5422 -1.7282 4.8848 Hg
2.5422 1.7282 4.8848 Hg
```

Values from the calculation:
Formation energy from the elements (eV/f.u.): -2.2
SG: Amm2, No. 38

# 2
Compound: Sr3Ga2N
Source: the Alexandria database
Functional: PBE
Structure: optimized geometry

The structure in POSCAR format:
```
Sr3Ga2N
1.0
7.5329 0.0000 0.0000
-3.7665 6.5237 0.0000
0.0000 0.0000 6.9008
Sr Ga N
6 4 2
Cartesian
0.0000 1.9405 1.7252 Sr
-2.0860 5.5535 1.7252 Sr
1.6805 0.9702 5.1756 Sr
2.0860 5.5535 1.7252 Sr
5.8525 0.9702 5.1756 Sr
3.7665 4.5833 5.1756 Sr
0.0000 4.3491 3.9890 Ga
0.0000 4.3491 6.3623 Ga
3.7665 2.1746 0.5386 Ga
3.7665 2.1746 2.9118 Ga
0.0000 0.0000 0.0000 N
0.0000 0.0000 3.4504 N
```

Values from the calculation:
E_form (uncorrected) (eV/atom): -0.4280
SG: P6_3/mmc, No. 194

# 3
Compound: AcYHgAu
Source: the Alexandria database
Functional: PBE
Structure: optimized geometry

The structure in POSCAR format:
```
AcYHgAu
1.0
0.0000 3.8377 3.8377
3.8377 0.0000 3.8377
3.8377 3.8377 0.0000
Ac Y Hg Au
1 1 1 1
Cartesian
0.0000 0.0000 0.0000 Ac
3.8377 3.8377 3.8377 Y
5.7566 5.7566 5.7566 Hg
1.9189 1.9189 1.9189 Au
```

Values from the calculation:
Formation energy from the elements (eV/f.u.): -2.3
SG: F-43m, No. 216

# 4
Compound: DyTaAl2
Source: the Alexandria database
Functional: PBE
Structure: optimized geometry

The structure in POSCAR format:
```
DyTaAl2
1.0
3.5140 0.0000 0.0000
0.0000 3.5140 0.0000
0.0000 0.0000 6.4372
Dy Ta Al
1 1 2
Cartesian
0.0000 0.0000 0.0000 Dy
0.0000 0.0000 3.2186 Ta
1.7570 1.7570 1.9184 Al
1.7570 1.7570 4.5188 Al
```

Values from the calculation:
Formation energy from the elements (eV/f.u.): -0.7
Energy above the most stable polymorph in this dataset (meV/atom): 0.0
SG: P4/mmm, No. 123

# 5
Compound: TmPaTlC
Source: the Alexandria database
Functional: PBE
Structure: optimized geometry

The structure in POSCAR format:
```
TmPaTlC
1.0
1.7216 0.9940 8.8519
-1.7216 0.9940 8.8519
0.0000 -1.9879 8.8519
Tm Pa Tl C
1 1 1 1
Cartesian
0.0000 0.0000 0.0000 Tm
0.0000 0.0000 14.9338 Pa
0.0000 0.0000 11.5763 Tl
0.0000 0.0000 7.4477 C
```

Values from the calculation:
Formation energy from the elements (eV/f.u.): -0.9
SG: R3m, No. 160

# 6
Compound: CdIn3Ga3I8
Source: the Alexandria database
Functional: PBE
Structure: optimized geometry

The structure in POSCAR format:
```
CdIn3Ga3I8
1.0
4.7348 2.7336 8.0417
-4.7348 2.7336 8.0417
0.0000 -5.4672 8.0417
Cd In Ga I
1 3 3 8
Cartesian
0.0000 0.0000 0.0000 Cd
-4.7348 0.0000 12.0625 In
-2.3674 1.3668 4.0208 In
2.3674 1.3668 4.0208 In
-2.3674 -1.3668 8.0417 Ga
-2.3674 1.3668 16.0834 Ga
0.0000 2.7336 8.0417 Ga
0.0000 -2.9404 9.7799 I
-2.5465 1.4702 9.7799 I
-2.5465 -1.4702 14.3452 I
0.0000 0.0000 6.1685 I
0.0000 0.0000 17.9566 I
2.5465 1.4702 9.7799 I
2.5465 -1.4702 14.3452 I
0.0000 2.9404 14.3452 I
```

Values from the calculation:
E_form (uncorrected) (eV/atom): -0.4239
SG: R-3m, No. 166

no.,V (Å³/cell)
1,197.2
2,339.1
3,113.0
4,79.5
5,90.9
6,624.6